1.
# Nd2FeSb4

An optimized crystal structure of Nd2FeSb4 (PBEsol, Alexandria).

Values from the calculation:
Uncorrected energy ... -42.2 eV per cell
Formation energy without anion corrections ... -0.663 eV/atom
Calculated volume ... 180.6 Å³/f.u.

Cell lengths 4.3577, 4.3577, 9.5123 Å; angles 90.00, 90.00, 90.00 degrees
Each line ends with the local moment (μB).
Fractional positions:
Nd1 0.0000 0.5000 0.2364  0.01
Fe1 0.5000 0.5000 0.0000  1.65
Sb1 0.5000 0.0000 0.1249  0.00
Nd2 0.5000 0.0000 0.7636  0.01
Sb2 0.0000 0.5000 0.8751  0.00
Sb3 0.5000 0.5000 0.5000  0.00
Sb4 0.0000 0.0000 0.5000  0.00

2.
# InH2S

An optimized crystal structure of InH2S (PBEsol, Alexandria).

Values from the calculation:
Uncorrected energy ... -26.3 eV per cell
Calculated volume ... 53.5 Å³/f.u.

Cell lengths 5.3299, 5.3299, 5.3299 Å; angles 60.00, 60.00, 60.00 degrees
Fractional positions:
H1 0.1250 0.6250 0.1250
H2 0.1250 0.1250 0.1250
H3 0.6250 0.1250 0.1250
S1 0.0000 0.0000 0.0000
S2 0.2500 0.2500 0.2500
H4 0.1250 0.1250 0.6250
In1 0.5000 0.5000 0.5000
In2 0.7500 0.7500 0.7500

Question: Which value of calculated volume does entry 1 give?
Answer: 180.6 Å³/f.u.